# Ti3ZnC (PBE, relaxed)
data_Ti3ZnC
_chemical_formula_sum 'Ti6 Zn2 C2'
_cell_length_a 3.5153
_cell_length_b 3.5153
_cell_length_c 15.3422
_cell_angle_alpha 90.00
_cell_angle_beta 90.00
_cell_angle_gamma 120.00
_symmetry_space_group_name_H-M 'P 63/m m c'
_symmetry_Int_Tables_number 194
_symmetry_space_group_name_Hall '-P 6c 2c'
loop_
_atom_site_label
_atom_site_fract_x
_atom_site_fract_y
_atom_site_fract_z
Ti1 0.0000 0.0000 0.2500
Ti2 0.3333 0.6667 0.1158
Zn1 0.0000 0.0000 0.0000
C1 0.3333 0.6667 0.2500
# Total magnetic moment, μB per formula unit: 1.6
# Raw total energy, eV for the cell shown: -68.237
# Formation enthalpy at 0 K, eV per formula unit: 0.06
# DOS at the Fermi energy, states/eV per cell: 7.5